Density functional theory data (PBE-GGA) for Dy12Y6Zr after structural relaxation.

Output
Formation energy, eV per atom: 0.246
Crystal system: trigonal

a b c (Å): 13.0869 13.0869 12.5362
angles (deg): 90.00 90.00 120.00
With the nearest neighbours (Å) after each atom.
Space group R-3m (No. 166, hexagonal axes)
Inequivalent atoms, fractional coordinates:
Dy 0.0000 0.2554 0.0000  6 Dy 3.32-3.53, 4 Y 3.46-3.58
Dy 0.0901 0.1802 0.7612  6 Dy 3.32-3.54
Y 0.0468 0.5234 0.1199  3 Y 3.19-3.45, 1 Zr 3.30, 2 Dy 3.46
Zr 0.0000 0.0000 0.5000  6 Y 3.30